This record from the Alexandria database describes Pr2Tl3Zn after structural relaxation. The functional is PBE-GGA.

Calculated values
**ΔE_f**: -26.8 kJ per mole of atoms
**Density of states at the Fermi level**: 0.72 states/eV per atom

```
data_Pr2Tl3Zn
_cell_length_a 3.836
_cell_length_b 4.916
_cell_length_c 8.749
_cell_angle_alpha 90.00
_cell_angle_beta 90.00
_cell_angle_gamma 90.00
_symmetry_space_group_name_H-M 'P m m 2'
_symmetry_Int_Tables_number 25
_symmetry_space_group_name_Hall 'P 2 -2'
loop_
_atom_site_label
_atom_site_type_symbol
_atom_site_fract_x
_atom_site_fract_y
_atom_site_fract_z
Pr1 Pr 0.000 0.000 0.000
Pr2 Pr 0.000 0.500 0.488
Tl1 Tl 0.500 0.000 0.638
Tl2 Tl 0.500 0.500 0.177
Tl3 Tl 0.500 0.500 0.831
Zn1 Zn 0.500 0.000 0.321
```



This record from the Alexandria database describes PrTl2Zn after structural relaxation. The functional is PBE-GGA.

Calculated values
**ΔE_f**: -26.9 kJ per mole of atoms
**Density of states at the Fermi level**: 0.35 states/eV per atom

```
data_PrTl2Zn
_cell_length_a 4.867
_cell_length_b 4.867
_cell_length_c 17.408
_cell_angle_alpha 90.00
_cell_angle_beta 90.00
_cell_angle_gamma 90.00
_symmetry_space_group_name_H-M 'I 4/m m m'
_symmetry_Int_Tables_number 139
_symmetry_space_group_name_Hall '-I 4 2'
loop_
_atom_site_label
_atom_site_type_symbol
_atom_site_fract_x
_atom_site_fract_y
_atom_site_fract_z
Pr1 Pr 0.000 0.000 0.134
Tl1 Tl 0.000 0.000 0.351
Tl2 Tl 0.000 0.500 0.000
Zn1 Zn 0.000 0.500 0.250
```



This record from the Alexandria database describes PrTl2Zn after structural relaxation. The functional is PBE-GGA.

Calculated values
**ΔE_f**: -17.0 kJ per mole of atoms
**Density of states at the Fermi level**: 0.37 states/eV per atom

```
data_PrTl2Zn
_cell_length_a 4.7051
_cell_length_b 4.7051
_cell_length_c 16.6480
_cell_angle_alpha 90.00
_cell_angle_beta 90.00
_cell_angle_gamma 120.00
_symmetry_space_group_name_H-M 'R -3 m'
_symmetry_Int_Tables_number 166
_symmetry_space_group_name_Hall '-R 3 2"'
loop_
_atom_site_label
_atom_site_type_symbol
_atom_site_fract_x
_atom_site_fract_y
_atom_site_fract_z
Pr1 Pr 0.0000 0.0000 0.0000
Tl1 Tl 0.0000 0.0000 0.2269
Zn1 Zn 0.0000 0.0000 0.5000
```



This record from the Alexandria database describes PrTlZn2 after structural relaxation. The functional is PBE-GGA.

Calculated values
**ΔE_f**: -19.7 kJ per mole of atoms
**Density of states at the Fermi level**: 0.62 states/eV per atom

```
data_PrTlZn2
_cell_length_a 4.710
_cell_length_b 4.710
_cell_length_c 4.246
_cell_angle_alpha 90.00
_cell_angle_beta 90.00
_cell_angle_gamma 90.00
_symmetry_space_group_name_H-M 'P 4/m m m'
_symmetry_Int_Tables_number 123
_symmetry_space_group_name_Hall '-P 4 2'
loop_
_atom_site_label
_atom_site_type_symbol
_atom_site_fract_x
_atom_site_fract_y
_atom_site_fract_z
Pr1 Pr 0.000 0.000 0.000
Tl1 Tl 0.500 0.500 0.000
Zn1 Zn 0.000 0.500 0.500
```



This record from the Alexandria database describes Pr6TlZn after structural relaxation. The functional is PBE-GGA.

Calculated values
**ΔE_f**: -14.2 kJ per mole of atoms
**Density of states at the Fermi level**: 1.22 states/eV per atom

```
data_Pr6TlZn
_cell_length_a 5.309
_cell_length_b 5.309
_cell_length_c 18.335
_cell_angle_alpha 90.00
_cell_angle_beta 90.00
_cell_angle_gamma 90.00
_symmetry_space_group_name_H-M 'I 4/m m m'
_symmetry_Int_Tables_number 139
_symmetry_space_group_name_Hall '-I 4 2'
loop_
_atom_site_label
_atom_site_type_symbol
_atom_site_fract_x
_atom_site_fract_y
_atom_site_fract_z
Pr1 Pr 0.000 0.000 0.250
Pr2 Pr 0.000 0.500 0.109
Tl1 Tl 0.000 0.000 0.000
Zn1 Zn 0.000 0.000 0.500
```



This record from the Alexandria database describes Pr3TlZn2 after structural relaxation. The functional is PBE-GGA.

Calculated values
**ΔE_f**: -31.6 kJ per mole of atoms
**Density of states at the Fermi level**: 1.33 states/eV per atom

```
data_Pr3TlZn2
_cell_length_a 3.731
_cell_length_b 3.731
_cell_length_c 11.739
_cell_angle_alpha 90.00
_cell_angle_beta 90.00
_cell_angle_gamma 90.00
_symmetry_space_group_name_H-M 'P 4/m m m'
_symmetry_Int_Tables_number 123
_symmetry_space_group_name_Hall '-P 4 2'
loop_
_atom_site_label
_atom_site_type_symbol
_atom_site_fract_x
_atom_site_fract_y
_atom_site_fract_z
Pr1 Pr 0.000 0.000 0.000
Pr2 Pr 0.000 0.000 0.313
Tl1 Tl 0.500 0.500 0.500
Zn1 Zn 0.500 0.500 0.154
```



What is the ΔE_f in the sixth record? -31.6 kJ per mole of atoms



What did the first record say?
This record from the Alexandria database describes Pr2Tl3Zn after structural relaxation. The functional is PBE-GGA.

Calculated values
**ΔE_f**: -26.8 kJ per mole of atoms
**Density of states at the Fermi level**: 0.72 states/eV per atom

```
data_Pr2Tl3Zn
_cell_length_a 3.836
_cell_length_b 4.916
_cell_length_c 8.749
_cell_angle_alpha 90.00
_cell_angle_beta 90.00
_cell_angle_gamma 90.00
_symmetry_space_group_name_H-M 'P m m 2'
_symmetry_Int_Tables_number 25
_symmetry_space_group_name_Hall 'P 2 -2'
loop_
_atom_site_label
_atom_site_type_symbol
_atom_site_fract_x
_atom_site_fract_y
_atom_site_fract_z
Pr1 Pr 0.000 0.000 0.000
Pr2 Pr 0.000 0.500 0.488
Tl1 Tl 0.500 0.000 0.638
Tl2 Tl 0.500 0.500 0.177
Tl3 Tl 0.500 0.500 0.831
Zn1 Zn 0.500 0.000 0.321
```



Among the records above, which one has the highest ΔE_f? Pr6TlZn